No. 1
Material: InSn2OsI
Method: DFT, GGA-PBE
State: optimized geometry

Computed properties:
The final energy comes out at -4.798 eV/atom. Its space group is P4/mmm, No. 123. The calculation puts the magnetic moment at 0.00 μB/cell.

Cell and atoms, written as POSCAR:
```
InSn2OsI
1.0
5.1729 0.0000 0.0000
0.0000 5.1729 0.0000
0.0000 0.0000 5.3595
In Sn Os I
1 2 1 1
Direct
0.0000 0.0000 0.0000 In
0.0000 0.5000 0.5000 Sn
0.5000 0.0000 0.5000 Sn
0.0000 0.0000 0.5000 Os
0.5000 0.5000 0.0000 I
```

=====

No. 2
Material: InOs2WI
Method: DFT, GGA-PBE
State: optimized geometry

Computed properties:
The final energy comes out at -6.128 eV/atom. Its space group is P4/mmm, No. 123. The calculation puts the magnetic moment at 2.07 μB/cell.

Cell and atoms, written as POSCAR:
```
InOs2WI
1.0
4.8116 0.0000 0.0000
0.0000 4.8116 0.0000
0.0000 0.0000 5.4832
In Os W I
1 2 1 1
Direct
0.0000 0.0000 0.0000 In
0.0000 0.5000 0.5000 Os
0.5000 0.0000 0.5000 Os
0.0000 0.0000 0.5000 W
0.5000 0.5000 0.0000 I
```

=====

No. 3
Material: InPI3
Method: DFT, GGA-PBE
State: optimized geometry

Computed properties:
The final energy comes out at -2.098 eV/atom. Its space group is Pm-3m, No. 221. For the energy relative to the lowest polymorph listed for this composition, the calculation gives 486 meV per atom. The calculation puts the magnetic moment at 2.70 μB/cell.

Cell and atoms, written as POSCAR:
```
InPI3
1.0
5.9499 0.0000 0.0000
0.0000 5.9499 0.0000
0.0000 0.0000 5.9499
In P I
1 1 3
Direct
0.0000 0.0000 0.0000 In
0.5000 0.5000 0.5000 P
0.0000 0.0000 0.5000 I
0.0000 0.5000 0.0000 I
0.5000 0.0000 0.0000 I
```

=====

No. 4
Material: InP2I
Method: DFT, GGA-PBE
State: optimized geometry

Computed properties:
The final energy comes out at -2.970 eV/atom. Its space group is Fm-3m, No. 225. For the energy relative to the lowest polymorph listed for this composition, the calculation gives 184 meV per atom. The calculation puts the magnetic moment at 0.00 μB/cell.

Cell and atoms, written as POSCAR:
```
InP2I
1.0
0.0000 3.5304 3.5304
3.5304 0.0000 3.5304
3.5304 3.5304 0.0000
In P I
1 2 1
Direct
0.0000 0.0000 0.0000 In
0.2500 0.2500 0.2500 P
0.7500 0.7500 0.7500 P
0.5000 0.5000 0.5000 I
```

=====

No. 5
Material: InP2I
Method: DFT, GGA-PBE
State: optimized geometry

Computed properties:
The final energy comes out at -3.154 eV/atom. Its space group is I-42d, No. 122. For the energy relative to the lowest polymorph listed for this composition, the calculation gives 0 meV per atom. The calculation puts the magnetic moment at 0.00 μB/cell.

Cell and atoms, written as POSCAR:
```
InP2I
1.0
-2.8580 2.8580 7.3139
2.8580 -2.8580 7.3139
2.8580 2.8580 -7.3139
In P I
2 4 2
Direct
0.0000 0.0000 0.0000 In
0.7500 0.2500 0.5000 In
0.1020 0.6250 0.9770 P
0.3750 0.3520 0.4770 P
0.6480 0.1250 0.0230 P
0.8750 0.8980 0.5230 P
0.2500 0.7500 0.5000 I
0.5000 0.5000 0.0000 I
```

=====

No. 6
Material: InP3I
Method: DFT, GGA-PBE
State: optimized geometry

Computed properties:
The final energy comes out at -2.873 eV/atom. Its space group is Pm-3m, No. 221. For the energy relative to the lowest polymorph listed for this composition, the calculation gives 0 meV per atom. The calculation puts the magnetic moment at 0.00 μB/cell.

Cell and atoms, written as POSCAR:
```
InP3I
1.0
5.0949 0.0000 0.0000
0.0000 5.0949 0.0000
0.0000 0.0000 5.0949
In P I
1 3 1
Direct
0.0000 0.0000 0.0000 In
0.0000 0.0000 0.5000 P
0.0000 0.5000 0.0000 P
0.5000 0.0000 0.0000 P
0.5000 0.5000 0.5000 I
```

=====

The following mass density values (in Mg/m³) correspond, in order, to the records above: 7.75, 10.54, 4.15, 5.73, 4.22, 4.20.